VASP calculation (PBE) on a relaxed Sr2CaSn4Au3 crystal. Values from VASP.

```
&SYSTEM
  ibrav = 0, nat = 10, ntyp = 4
/
ATOMIC_SPECIES
Sr 87.62 Sr.upf
Ca 40.08 Ca.upf
Sn 118.71 Sn.upf
Au 196.97 Au.upf
CELL_PARAMETERS angstrom
4.578 0.000 0.000
0.000 4.578 0.000
0.000 0.000 13.084
ATOMIC_POSITIONS crystal
Sr 0.000 0.500 0.231
Sr 0.500 0.000 0.769
Ca 0.000 0.000 0.500
Sn 0.000 0.000 0.000
Sn 0.000 0.500 0.656
Sn 0.500 0.000 0.344
Sn 0.500 0.500 0.000
Au 0.000 0.500 0.864
Au 0.500 0.000 0.136
Au 0.500 0.500 0.500
```

Values from the calculation:
The formation energy comes out at -564 meV/atom. The calculated volume comes out at 27.4 Å³/atom. The energy comes out at -36.8 eV for the cell shown. The density of states at the Fermi level comes out at 0.60 states/eV/atom. Its symmetry is No. 115.